Record 1
Re2RuSe: single point on PBEsol structure, SCAN.

Unit cell a=5.085 b=8.158 c=2.847 alpha=90.00 beta=90.00 gamma=90.00
Space group Cmmm (No. 65)
Inequivalent atoms, fractional coordinates:
Re (0.250, 0.250, 0.000) [4 per cell]
Ru (0.000, 0.000, 0.500) [2 per cell]
Se (0.000, 0.500, 0.500) [2 per cell]

Values from the calculation:
* formation energy without anion corrections: 0.738 eV/atom
* raw total energy: -48.537 eV/atom
* M_tot: 0.0 μB/cell
* ρ: 15.538 Mg/m³
* ΔE to the lowest computed polymorph: 429 meV/atom


Record 2
ZnCdRu2: single point on PBEsol structure, SCAN.

Unit cell a=2.887 b=4.515 c=4.521 alpha=90.00 beta=90.00 gamma=90.00
Space group Pmmm (No. 47)
Inequivalent atoms, fractional coordinates:
Zn (0.000, 0.000, 0.000) [1 per cell]
Cd (0.500, 0.500, 0.000) [1 per cell]
Ru (0.000, 0.500, 0.500) [1 per cell]
Ru (0.500, 0.000, 0.500) [1 per cell]

Values from the calculation:
* raw total energy: -28.057 eV/atom
* M_tot: 1.9 μB/cell
* ρ: 10.706 Mg/m³


Record 3
ZnSiSb: single point on PBEsol structure, SCAN.

Unit cell a=6.396 b=6.396 c=6.396 alpha=90.00 beta=90.00 gamma=90.00
Space group F-43m (No. 216)
Inequivalent atoms, fractional coordinates:
Zn (0.000, 0.000, 0.000) [4 per cell]
Si (0.250, 0.250, 0.750) [4 per cell]
Sb (0.000, 0.000, 0.500) [4 per cell]

Values from the calculation:
* formation energy without anion corrections: 0.512 eV/atom
* raw total energy: -19.752 eV/atom
* M_tot: 0.0 μB/cell
* ρ: 5.465 Mg/m³


Record 4
MgBeTe2: single point on PBEsol structure, SCAN.

Unit cell a=4.185 b=4.185 c=6.254 alpha=90.00 beta=90.04 gamma=90.00
Space group Pm (No. 6)
Inequivalent atoms, fractional coordinates:
Mg (0.000, 0.000, 0.000) [1 per cell]
Be (0.503, 0.500, 0.500) [1 per cell]
Te (0.002, 0.500, 0.713) [1 per cell]
Te (0.501, 0.000, 0.287) [1 per cell]

Values from the calculation:
* formation energy without anion corrections: -0.647 eV/atom
* raw total energy: -21.605 eV/atom
* M_tot: 0.0 μB/cell
* ρ: 4.374 Mg/m³
* ΔE to the lowest computed polymorph: 32 meV/atom


Record 5
ZrCdP: single point on PBEsol structure, SCAN.

Unit cell a=6.181 b=6.181 c=6.181 alpha=90.00 beta=90.00 gamma=90.00
Space group F-43m (No. 216)
Inequivalent atoms, fractional coordinates:
Zr (0.000, 0.000, 0.000) [4 per cell]
Cd (0.000, 0.000, 0.500) [4 per cell]
P (0.250, 0.250, 0.750) [4 per cell]

Values from the calculation:
* raw total energy: -24.013 eV/atom
* M_tot: 0.0 μB/cell
* ρ: 6.600 Mg/m³
* ΔE to the lowest computed polymorph: 208 meV/atom


Record 6
Li6W2O9: single point on PBEsol structure, SCAN.

Unit cell a=9.720 b=8.718 c=8.164 alpha=90.00 beta=114.62 gamma=90.00
Space group C2/c (No. 15)
Inequivalent atoms, fractional coordinates:
Li (0.164, 0.004, 0.083) [8 per cell]
Li (0.164, 0.318, 0.085) [8 per cell]
Li (0.183, 0.322, 0.590) [8 per cell]
W (0.000, 0.134, 0.750) [4 per cell]
W (0.000, 0.491, 0.250) [4 per cell]
O (0.000, 0.500, 0.000) [4 per cell]
O (0.001, 0.169, 0.525) [8 per cell]
O (0.146, 0.335, 0.822) [8 per cell]
O (0.159, 0.357, 0.331) [8 per cell]
O (0.166, 0.010, 0.833) [8 per cell]

Values from the calculation:
* formation energy without anion corrections: -2.341 eV/atom
* raw total energy: -14.682 eV/atom
* M_tot: 0.0 μB/cell
* ρ: 5.844 Mg/m³


Record 7
MgBeTe: single point on PBEsol structure, SCAN.

Unit cell a=6.362 b=6.362 c=6.362 alpha=90.00 beta=90.00 gamma=90.00
Space group F-43m (No. 216)
Inequivalent atoms, fractional coordinates:
Mg (0.000, 0.000, 0.000) [4 per cell]
Be (0.250, 0.250, 0.750) [4 per cell]
Te (0.000, 0.000, 0.500) [4 per cell]

Values from the calculation:
* formation energy without anion corrections: 0.307 eV/atom
* raw total energy: -15.219 eV/atom
* M_tot: 0.4 μB/cell
* ρ: 4.151 Mg/m³
* ΔE to the lowest computed polymorph: 343 meV/atom


Record 8
TaCo2Pb: single point on PBEsol structure, SCAN.

Unit cell a=3.754 b=3.754 c=8.377 alpha=90.00 beta=90.00 gamma=90.00
Space group I-4m2 (No. 119)
Inequivalent atoms, fractional coordinates:
Ta (0.000, 0.000, 0.000) [2 per cell]
Co (0.000, 0.000, 0.500) [2 per cell]
Co (0.000, 0.500, 0.250) [2 per cell]
Pb (0.000, 0.500, 0.750) [2 per cell]

Values from the calculation:
* raw total energy: -43.713 eV/atom
* M_tot: 0.0 μB/cell
* ρ: 14.239 Mg/m³